KSr2YRh | PBE | relaxed

The structure in POSCAR format:
```
KSr2YRh
1.0
-1.286 3.093 -5.156
-3.375 -4.735 -1.999
-4.370 2.118 2.361
Y Sr K Rh
1 2 1 1
Direct
0.000 0.000 0.500
0.000 0.500 0.000
0.500 0.000 0.000
0.500 0.500 0.500
0.000 0.000 0.000
```

Results
Energy relative to the elements (eV per atom): -0.12
Symmetry: P4/mmm (123)